First-principles (PBE) data for FeW4N3 after structural relaxation, as listed in OQMD.

Summary:
DFT total energy (eV/atom): -10.469

Cell lengths 2.813, 2.813, 26.019 Å; angles 90.00, 90.00, 120.00 degrees
Last column: magnetic moment on the atom in μB.
Atoms (fractional coordinates):
1 W 0.000 0.000 0.170  -0.08
2 W 0.000 0.000 0.830  -0.08
3 W 0.333 0.667 0.058  -0.02
4 W 0.667 0.333 0.942  -0.02
5 W 0.000 0.000 0.330  -0.08
6 W 0.000 0.000 0.670  -0.08
7 W 0.333 0.667 0.442  -0.02
8 W 0.667 0.333 0.558  -0.02
9 Fe 0.667 0.333 0.750  1.21
10 Fe 0.333 0.667 0.250  1.21
11 N 0.667 0.333 0.385  0.01
12 N 0.000 0.000 0.000  0.00
13 N 0.000 0.000 0.500  0.00
14 N 0.667 0.333 0.115  0.01
15 N 0.333 0.667 0.885  0.01
16 N 0.333 0.667 0.615  0.01